Here is a relaxed structure of TlP2WCl from the Alexandria database. Energies are from PBE.

The energy above the most stable polymorph in this dataset is 0 kJ/mol of formula units. As for the space group: P4/mmm, No. 123. Its calculated total energy is -5.503 eV/atom. The value obtained for the uncorrected formation energy is 0.095 eV per atom. The total moment comes out at 0.000 μB per atom.

Cell lengths 4.703, 4.703, 5.260 Å; angles 90.00, 90.00, 90.00 degrees
Element x y z (fractional)
P1 0.000 0.500 0.000
P2 0.500 0.000 0.000
Tl1 0.500 0.500 0.500
W1 0.000 0.000 0.000
Cl1 0.000 0.000 0.500